# 1
VASP calculation (GGA-PBE) on a relaxed structure of CaInBr.

Formation energy (no corrections) in eV per atom: -0.410
Distance to the lowest polymorph of the same formula in meV/atom: 669
Symmetry: F-43m, No. 216

POSCAR file:
```
CaInBr
1.0
-0.332 4.581 2.536
-1.503 0.113 5.026
3.474 1.179 3.751
In Ca Br
1 1 1
Direct
0.500 0.500 0.500
0.000 0.000 0.000
0.250 0.250 0.250
```

# 2
VASP calculation (GGA-PBE) on a relaxed structure of In5Ir4.

Energy relative to the elements in eV/atom: 0.2021
Distance to the lowest polymorph of the same formula in meV/atom: 113
Symmetry: I4/mmm, No. 139

POSCAR file:
```
In5Ir4
1.0
6.364 1.295 -0.638
-5.168 1.416 3.724
0.741 -6.124 2.128
Ir In
4 5
Direct
0.000 0.345 0.345
0.000 0.655 0.655
0.345 0.000 0.345
0.655 0.000 0.655
0.673 0.327 0.000
0.327 0.327 0.653
0.000 0.000 0.000
0.327 0.673 0.000
0.673 0.673 0.347
```

# 3
VASP calculation (GGA-PBE) on a relaxed structure of Nb4Au2C.

Energy relative to the elements in eV/atom: -0.1485
Symmetry: P2/m, No. 10

POSCAR file:
```
Nb4Au2C
1.0
-2.020 1.557 1.724
3.764 -2.334 6.519
1.860 4.587 -1.964
Au Nb C
2 4 1
Direct
0.500 0.576 0.821
0.500 0.567 0.322
0.500 0.936 0.770
0.000 0.281 0.896
0.500 0.206 0.373
0.000 0.862 0.247
0.000 0.071 0.071
```

# 4
VASP calculation (GGA-PBE) on a relaxed structure of Mg6Cd2Pb.

Energy relative to the elements in eV/atom: 0.1340
Distance to the lowest polymorph of the same formula in meV/atom: 160
Symmetry: Immm, No. 71

POSCAR file:
```
Mg6Cd2Pb
1.0
-4.224 -1.651 -1.878
0.975 -8.425 -1.204
-1.847 -7.273 4.132
Mg Cd Pb
6 2 1
Direct
0.193 0.059 0.554
0.000 0.767 0.233
0.807 0.446 0.941
0.193 0.554 0.059
0.000 0.233 0.767
0.807 0.941 0.446
0.618 0.882 0.882
0.382 0.118 0.118
0.500 0.500 0.500
```

# 5
VASP calculation (GGA-PBE) on a relaxed structure of BaScFe2.

Energy relative to the elements in eV/atom: 0.2364
Distance to the lowest polymorph of the same formula in meV/atom: 0
Symmetry: R3m, No. 160

POSCAR file:
```
BaScFe2
1.0
-3.279 1.143 -1.948
-0.363 -0.743 -3.894
-4.352 -6.289 -0.424
Sc Fe Ba
1 2 1
Direct
0.452 0.452 0.643
0.052 0.052 0.844
0.720 0.720 0.841
0.276 0.276 0.171
```